# 1
Material: BaNb3Tl
Method: DFT, PBE
State: relaxed

Cell lengths 5.116, 5.116, 5.116 Å; angles 90.00, 90.00, 90.00 degrees
Fractional positions:
Ba 0.000 0.000 0.000
Nb 0.000 0.000 0.500
Nb 0.000 0.500 0.000
Nb 0.500 0.000 0.000
Tl 0.500 0.500 0.500

Results
- space group = Pm-3m
- energy of formation from the pure elements (eV/atom) = 2.382

# 2
Material: TlAgS2
Method: DFT, PBE
State: relaxed

Cell lengths 4.708, 6.443, 7.879 Å; angles 69.68, 77.78, 71.89 degrees
Fractional positions:
Tl 0.000 0.000 0.000
Tl 0.248 0.490 0.748
Ag 0.544 0.431 0.117
Ag 0.547 0.909 0.571
S 0.001 0.667 0.373
S 0.261 0.147 0.315
S 0.663 0.765 0.884
S 0.871 0.382 0.393

Results
- raw formation energy (eV/atom) = -0.112
- space group = P1

# 3
Material: CrCu2SbH
Method: DFT, PBE
State: relaxed

Cell lengths 3.955, 3.955, 4.012 Å; angles 90.00, 90.00, 90.00 degrees
Fractional positions:
Cr 0.000 0.000 0.000
Cu 0.000 0.500 0.500
Cu 0.500 0.000 0.500
Sb 0.500 0.500 0.000
H 0.000 0.000 0.500

Results
- space group = P4/mmm

# 4
Material: LiZr2Pb
Method: DFT, PBE
State: relaxed

Cell lengths 3.338, 4.371, 6.254 Å; angles 90.00, 105.32, 90.00 degrees
Fractional positions:
Li 0.000 0.000 0.000
Zr 0.393 0.500 0.777
Zr 0.758 0.000 0.504
Pb 0.135 0.500 0.251

Results
- space group = Pm
- energy of formation from the pure elements (eV/atom) = -0.062

# 5
Material: ReSnIO2
Method: DFT, PBE
State: relaxed

Cell lengths 4.008, 4.008, 6.656 Å; angles 90.00, 90.00, 90.00 degrees
Fractional positions:
Re 0.000 0.000 0.000
Sn 0.500 0.500 0.500
I 0.500 0.500 0.000
O 0.000 0.500 0.500
O 0.500 0.000 0.500

Results
- raw formation energy (eV/atom) = 0.508
- space group = P4/mmm

Number 1: DOS at the Fermi energy 5.42 states/eV/cell, final energy -4.52 eV/atom. Number 2: DOS at the Fermi energy 0.00 states/eV/cell, final energy -3.48 eV/atom. Number 3: DOS at the Fermi energy 2.54 states/eV/cell, final energy -4.89 eV/atom. Number 4: DOS at the Fermi energy 4.31 states/eV/cell, final energy -5.74 eV/atom. Number 5: DOS at the Fermi energy 2.02 states/eV/cell, final energy -5.08 eV/atom.